# GGA+U Rb2SmVO4, optimized geometry
# **Size of the total moment**: 4.0 μB per cell
# **Calculated total energy**: -102.11 eV/cell
data_Rb2SmVO4
_cell_length_a 6.188
_cell_length_b 6.188
_cell_length_c 8.688
_cell_angle_alpha 90.00
_cell_angle_beta 90.00
_cell_angle_gamma 90.00
_space_group_name_H-M_alt 'I -4'
_space_group_IT_number 82
_space_group_name_Hall 'I -4'
loop_
_atom_site_label
_atom_site_type_symbol
_atom_site_fract_x
_atom_site_fract_y
_atom_site_fract_z
Rb1 Rb 0.000 0.000 0.000
Rb2 Rb 0.000 0.500 0.250
Sm1 Sm 0.000 0.500 0.750
V1 V 0.000 0.000 0.500
O1 O 0.139 0.769 0.615